# 1
PBE Hf2RuS2, optimized geometry; density = 9.53 Mg/m³; offset from the most stable computed form = 49 meV/atom; crystal system = tetragonal
1.0
4.963 0.000 0.000
0.000 4.963 0.000
2.482 2.482 3.694
Ru Hf S
1 2 2
direct
0.000 0.000 0.000
0.250 0.750 0.500
0.750 0.250 0.500
0.312 0.312 0.375
0.688 0.688 0.625


# 2
PBE HfRuS2, optimized geometry; density = 7.53 Mg/m³; offset from the most stable computed form = 56 meV/atom; crystal system = trigonal
1.0
-2.548 -3.709 6.631
0.200 -2.127 7.724
-2.715 -0.480 7.524
S Ru Hf
2 1 1
direct
0.097 0.097 0.097
0.903 0.903 0.903
0.000 0.000 0.000
0.500 0.500 0.500


# 3
PBE HfRuS, optimized geometry; density = 10.57 Mg/m³; crystal system = orthorhombic; uncorrected energy = -8.458 eV/atom
1.0
4.005 0.000 0.000
0.000 4.873 0.211
-2.003 -0.219 5.006
S Ru Hf
2 2 2
direct
0.189 0.750 0.379
0.811 0.250 0.621
0.576 0.750 0.152
0.424 0.250 0.848
0.121 0.250 0.242
0.879 0.750 0.758


# 4
PBE HfRuS2, optimized geometry; density = 9.50 Mg/m³; offset from the most stable computed form = 0 meV/atom; crystal system = cubic
1.0
0.000 3.108 3.108
3.108 0.000 3.108
3.108 3.108 0.000
S Hf Ru
2 1 1
direct
0.250 0.250 0.250
0.750 0.750 0.750
0.500 0.500 0.500
0.000 0.000 0.000


# 5
PBE Hf6RuS, optimized geometry; density = 12.24 Mg/m³; crystal system = triclinic; uncorrected energy = -9.558 eV/atom
1.0
-1.395 0.449 -4.966
-4.519 -3.486 -1.452
-4.328 3.684 1.507
Hf Ru S
6 1 1
direct
0.567 0.275 0.141
0.083 0.366 0.777
0.433 0.725 0.859
0.751 0.993 0.643
0.917 0.634 0.223
0.249 0.007 0.357
0.500 0.500 0.500
0.000 0.000 0.000


# 6
PBE Hf2RuS, optimized geometry; density = 8.22 Mg/m³; crystal system = tetragonal; uncorrected energy = -8.458 eV/atom
1.0
-1.675 1.962 5.258
-4.081 -4.192 0.265
0.922 -4.654 5.292
S Hf Ru
2 4 2
direct
0.500 0.500 0.000
0.250 0.750 0.500
0.117 0.625 0.250
0.375 0.367 0.750
0.875 0.883 0.750
0.633 0.125 0.250
0.750 0.250 0.500
0.000 0.000 0.000


# 7
PBE Hf8RuS2, optimized geometry; density = 10.81 Mg/m³; crystal system = monoclinic; uncorrected energy = -9.023 eV/atom
1.0
-1.062 0.347 -4.794
6.696 -1.871 -1.552
-0.536 -7.096 -0.328
Hf S Ru
8 2 1
direct
0.241 0.406 0.406
0.247 0.359 0.838
0.231 0.797 0.797
0.753 0.162 0.641
0.769 0.203 0.203
0.753 0.641 0.162
0.247 0.838 0.359
0.759 0.594 0.594
0.281 0.173 0.173
0.719 0.827 0.827
0.000 0.000 0.000


# 8
PBE HfRuS2, optimized geometry; density = 7.58 Mg/m³; offset from the most stable computed form = 331 meV/atom; crystal system = trigonal
1.0
1.915 0.000 7.900
-0.957 1.658 7.900
-0.957 -1.658 7.900
S Hf Ru
2 1 1
direct
0.894 0.894 0.894
0.106 0.106 0.106
0.000 0.000 0.000
0.500 0.500 0.500


# 9
PBE Hf2RuS, optimized geometry; density = 10.94 Mg/m³; crystal system = trigonal; uncorrected energy = -8.556 eV/atom
1.0
-1.593 1.291 2.390
0.973 -0.443 2.963
4.714 7.384 1.229
Hf Ru S
2 1 1
direct
0.094 0.094 0.718
0.906 0.906 0.282
0.000 0.000 0.000
0.500 0.500 0.500


# 10
PBE Hf2RuS2, optimized geometry; density = 10.96 Mg/m³; offset from the most stable computed form = 0 meV/atom; crystal system = tetragonal
1.0
6.933 0.000 0.000
0.000 6.933 0.000
0.000 0.000 3.291
Hf Ru S
4 2 4
direct
0.841 0.341 0.500
0.341 0.159 0.500
0.659 0.841 0.500
0.159 0.659 0.500
0.500 0.500 0.000
0.000 0.000 0.000
0.147 0.353 0.000
0.353 0.853 0.000
0.647 0.147 0.000
0.853 0.647 0.000


- What is the formula in the third record?
  HfRuS


- Which of these has the highest density?
  Hf6RuS


- Which of these has the lowest density?
  number 2